Entry from Alexandria: a relaxed structure of Be2SbBr (PBE).

Results
- density of states at the Fermi level (states/eV/atom) = 0.42
- formation energy (no corrections) (eV/f.u.) = 3.4

Cell: 4.699 4.699 4.699 Å, 60.00 60.00 60.00°
Positions (direct):
Be1 0.250 0.250 0.250
Be2 0.750 0.750 0.750
Sb1 0.000 0.000 0.000
Br1 0.500 0.500 0.500